Entry i
## Sm3Er2Tm2 (PBE-GGA)

Data for a geometry-optimized Sm3Er2Tm2 structure.

The value obtained for the density of states at the Fermi level is 1.5450 states/eV/atom. Its crystal system is monoclinic.

Cell: 17.1491 3.4769 8.7686 Å, 90.00 120.19 90.00°
Closest atoms and distances in Å follow each position.
Atoms (fractional coordinates):
Sm 0.0000 0.0000 0.0000  6 Sm 3.48-3.84, 4 Er 3.64, 4 Tm 3.84
Sm 0.2272 0.5000 0.1507  3 Er 3.37-3.56, 3 Tm 3.38-3.55, 4 Sm 3.48-3.56
Sm 0.2728 0.0000 0.8493  3 Er 3.37-3.56, 3 Tm 3.38-3.55, 4 Sm 3.48-3.56
Sm 0.5000 0.5000 0.0000  6 Sm 3.48-3.84, 4 Er 3.64, 4 Tm 3.84
Sm 0.7272 0.0000 0.1507  3 Er 3.37-3.56, 3 Tm 3.38-3.55, 4 Sm 3.48-3.56
Sm 0.7728 0.5000 0.8493  3 Er 3.37-3.56, 3 Tm 3.38-3.55, 4 Sm 3.48-3.56
Er 0.0678 0.5000 0.7201  2 Tm 3.32-3.42, 3 Er 3.36-3.48, 5 Sm 3.37-3.64
Er 0.4322 0.0000 0.2799  2 Tm 3.32-3.42, 3 Er 3.36-3.48, 5 Sm 3.37-3.64
Er 0.5678 0.0000 0.7201  2 Tm 3.32-3.42, 3 Er 3.36-3.48, 5 Sm 3.37-3.64
Er 0.9322 0.5000 0.2799  2 Tm 3.32-3.42, 3 Er 3.36-3.48, 5 Sm 3.37-3.64
Tm 0.1534 0.5000 0.4426  2 Er 3.32-3.42, 3 Sm 3.38-3.55, 4 Tm 3.41-3.48
Tm 0.3466 0.0000 0.5574  2 Er 3.32-3.42, 3 Sm 3.38-3.55, 4 Tm 3.41-3.48
Tm 0.6534 0.0000 0.4426  2 Er 3.32-3.42, 3 Sm 3.38-3.55, 4 Tm 3.41-3.48
Tm 0.8466 0.5000 0.5574  2 Er 3.32-3.42, 3 Sm 3.38-3.55, 4 Tm 3.41-3.48


Entry ii
## Sm3Er2Tm2 (PBE-GGA)

Data for a geometry-optimized Sm3Er2Tm2 structure.

The value obtained for the density of states at the Fermi level is 1.7657 states/eV/atom. Its crystal system is triclinic.

Cell: 3.5246 5.4763 12.0260 Å, 76.87 81.59 90.00°
Closest atoms and distances in Å follow each position.
Atoms (fractional coordinates):
Sm 0.0000 0.0000 0.0000  2 Tm 3.28, 2 Sm 3.52
Sm 0.2234 0.7235 0.5533  4 Tm 3.33-3.59, 6 Sm 3.48-3.52
Sm 0.7766 0.2765 0.4467  4 Tm 3.33-3.59, 6 Sm 3.48-3.52
Er 0.4201 0.4207 0.1578  3 Er 3.52-3.66, 4 Tm 3.57, 6 Sm 3.73-3.78
Er 0.5799 0.5793 0.8422  3 Er 3.52-3.66, 4 Tm 3.57, 6 Sm 3.73-3.78
Tm 0.1429 0.1420 0.7164  5 Sm 3.28-3.59, 2 Tm 3.52, 4 Er 3.57
Tm 0.8571 0.8580 0.2836  5 Sm 3.28-3.59, 2 Tm 3.52, 4 Er 3.57


The energy of each structure relative to the most stable one, in kJ/mol of atoms, is as follows: entry i 6.8; entry ii 0.0.


Entry i
## SmEr3Tm5 (PBE-GGA)

Data for a geometry-optimized SmEr3Tm5 structure.

The value obtained for the density of states at the Fermi level is 1.6510 states/eV/atom. Its crystal system is monoclinic.

Cell: 9.1299 9.1299 10.9971 Å, 126.46 126.46 57.40°
Closest atoms and distances in Å follow each position.
Atoms (fractional coordinates):
Sm 0.2491 0.7509 0.7500  2 Tm 3.02
Sm 0.7509 0.2491 0.2500  2 Tm 3.02
Er 0.2493 0.3158 0.0342  8 Tm 3.51-3.87, 1 Sm 3.57, 3 Er 3.76-3.88
Er 0.3158 0.2493 0.5342  8 Tm 3.51-3.87, 1 Sm 3.57, 3 Er 3.76-3.88
Er 0.5000 0.5000 0.0000  4 Tm 3.33-3.52, 2 Sm 3.52
Er 0.5000 0.5000 0.5000  4 Tm 3.33-3.52, 2 Sm 3.52
Er 0.6842 0.7507 0.4658  8 Tm 3.51-3.87, 1 Sm 3.57, 3 Er 3.76-3.88
Er 0.7507 0.6842 0.9658  8 Tm 3.51-3.87, 1 Sm 3.57, 3 Er 3.76-3.88
Tm 0.0243 0.7849 0.8895  4 Tm 2.99-3.18, 1 Sm 3.02
Tm 0.0284 0.6045 0.3291  2 Tm 2.99-3.10, 1 Er 3.33
Tm 0.1774 0.8226 0.2500  2 Tm 3.18
Tm 0.2151 0.9757 0.6105  4 Tm 2.99-3.18, 1 Sm 3.02
Tm 0.3955 0.9716 0.1709  2 Tm 2.99-3.10, 1 Er 3.33
Tm 0.6045 0.0284 0.8291  2 Tm 2.99-3.10, 1 Er 3.33
Tm 0.7849 0.0243 0.3895  4 Tm 2.99-3.18, 1 Sm 3.02
Tm 0.8226 0.1774 0.7500  2 Tm 3.18
Tm 0.9716 0.3955 0.6709  2 Tm 2.99-3.10, 1 Er 3.33
Tm 0.9757 0.2151 0.1105  4 Tm 2.99-3.18, 1 Sm 3.02


Entry ii
## SmEr3Tm5 (PBE-GGA)

Data for a geometry-optimized SmEr3Tm5 structure.

The value obtained for the density of states at the Fermi level is 1.5503 states/eV/atom. Its crystal system is monoclinic.

Cell: 9.2076 9.2076 12.0443 Å, 125.86 125.86 50.57°
Closest atoms and distances in Å follow each position.
Atoms (fractional coordinates):
Sm 0.2356 0.2356 0.1297  2 Er 3.14-3.33, 1 Tm 3.22
Sm 0.7644 0.7644 0.8703  2 Er 3.14-3.33, 1 Tm 3.22
Er 0.0000 0.0000 0.0000  2 Tm 2.53
Er 0.1704 0.1704 0.3386  2 Er 3.11-3.26, 1 Tm 3.31, 1 Sm 3.33
Er 0.3784 0.3784 0.6837  5 Tm 3.25-3.52, 1 Er 3.26
Er 0.5000 0.5000 0.5000  4 Tm 3.63, 2 Sm 3.72, 2 Er 3.85
Er 0.6216 0.6216 0.3163  5 Tm 3.25-3.52, 1 Er 3.26
Er 0.8296 0.8296 0.6614  2 Er 3.11-3.26, 1 Tm 3.31, 1 Sm 3.33
Tm 0.1214 0.1214 0.5646  4 Tm 3.26-3.59, 2 Er 3.31-3.52
Tm 0.1418 0.7282 0.2189  5 Tm 3.25-3.59, 3 Er 3.41-3.63, 2 Sm 3.59
Tm 0.2718 0.8582 0.7811  5 Tm 3.25-3.59, 3 Er 3.41-3.63, 2 Sm 3.59
Tm 0.2981 0.2981 0.9267  7 Tm 3.19-3.54, 1 Sm 3.22
Tm 0.3222 0.6778 0.0000  1 Er 2.53, 1 Tm 2.80
Tm 0.6778 0.3222 0.0000  1 Er 2.53, 1 Tm 2.80
Tm 0.7019 0.7019 0.0733  7 Tm 3.19-3.54, 1 Sm 3.22
Tm 0.7282 0.1418 0.2189  5 Tm 3.25-3.59, 3 Er 3.41-3.63, 2 Sm 3.59
Tm 0.8582 0.2718 0.7811  5 Tm 3.25-3.59, 3 Er 3.41-3.63, 2 Sm 3.59
Tm 0.8786 0.8786 0.4354  4 Tm 3.26-3.59, 2 Er 3.31-3.52


The energy of each structure relative to the most stable one, in kJ/mol of atoms, is as follows: entry i 0.0; entry ii 19.1.


Entry i
## SmEr4Tm (PBE-GGA)

Data for a geometry-optimized SmEr4Tm structure.

The value obtained for the density of states at the Fermi level is 1.6617 states/eV/atom. Its crystal system is orthorhombic.

Cell: 11.8148 11.8148 11.8148 Å, 152.51 40.87 150.36°
Closest atoms and distances in Å follow each position.
Atoms (fractional coordinates):
Sm 0.0000 0.0000 0.0000  6 Er 3.31-3.48
Sm 0.5000 0.0000 0.5000  6 Er 3.31-3.48
Er 0.0919 0.9228 0.1691  7 Er 3.41-3.58, 4 Tm 3.46-3.52, 1 Sm 3.77
Er 0.1581 0.5667 0.5914  3 Sm 3.31-3.48, 6 Er 3.41-3.58, 1 Tm 3.51
Er 0.2537 0.9228 0.3309  7 Er 3.41-3.58, 4 Tm 3.46-3.52, 1 Sm 3.77
Er 0.4753 0.5667 0.9086  3 Sm 3.31-3.48, 6 Er 3.41-3.58, 1 Tm 3.51
Er 0.5247 0.4333 0.0914  3 Sm 3.31-3.48, 6 Er 3.41-3.58, 1 Tm 3.51
Er 0.7463 0.0772 0.6691  7 Er 3.41-3.58, 4 Tm 3.46-3.52, 1 Sm 3.77
Er 0.8419 0.4333 0.4086  3 Sm 3.31-3.48, 6 Er 3.41-3.58, 1 Tm 3.51
Er 0.9081 0.0772 0.8309  7 Er 3.41-3.58, 4 Tm 3.46-3.52, 1 Sm 3.77
Tm 0.3276 0.5776 0.7500  10 Er 3.46-3.52, 2 Tm 3.50
Tm 0.6724 0.4224 0.2500  10 Er 3.46-3.52, 2 Tm 3.50


Entry ii
## SmEr4Tm (PBE-GGA)

Data for a geometry-optimized SmEr4Tm structure.

The value obtained for the density of states at the Fermi level is 2.0967 states/eV/atom. Its crystal system is monoclinic.

Cell: 3.4288 9.7927 5.7535 Å, 90.00 90.07 90.00°
Closest atoms and distances in Å follow each position.
Atoms (fractional coordinates):
Sm 0.0000 0.0000 0.0000  2 Sm 3.43, 8 Er 3.43-3.52
Er 0.0000 0.1913 0.5000  7 Er 3.43-3.75, 2 Sm 3.43, 2 Tm 3.48
Er 0.0000 0.8087 0.5000  7 Er 3.43-3.75, 2 Sm 3.43, 2 Tm 3.48
Er 0.5000 0.3139 0.0000  2 Tm 3.41, 7 Er 3.43-3.64, 2 Sm 3.52
Er 0.5000 0.6861 0.0000  2 Tm 3.41, 7 Er 3.43-3.64, 2 Sm 3.52
Tm 0.5000 0.5000 0.5000  8 Er 3.41-3.48, 2 Tm 3.43


The energy of each structure relative to the most stable one, in kJ/mol of atoms, is as follows: entry i 0.0; entry ii 13.8.


Entry i
## SmEr3Tm6 (PBE-GGA)

Data for a geometry-optimized SmEr3Tm6 structure.

The value obtained for the density of states at the Fermi level is 1.9170 states/eV/atom. Its crystal system is trigonal.

Cell: 6.7962 6.7962 6.7962 Å, 90.77 90.77 90.77°
Closest atoms and distances in Å follow each position.
Atoms (fractional coordinates):
Sm 0.0000 0.0000 0.0000  2 Er 2.84-3.00
Er 0.2587 0.2587 0.2587  1 Er 2.83, 1 Sm 3.00
Er 0.5027 0.5027 0.5027  2 Er 2.83-2.93
Er 0.7551 0.7551 0.7551  1 Sm 2.84, 1 Er 2.93
Tm 0.1576 0.8246 0.4847  3 Er 3.23-3.41
Tm 0.3282 0.6557 0.9852  1 Sm 3.26, 3 Er 3.33-3.64
Tm 0.4847 0.1576 0.8246  3 Er 3.23-3.41
Tm 0.6557 0.9852 0.3282  1 Sm 3.26, 3 Er 3.33-3.64
Tm 0.8246 0.4847 0.1576  3 Er 3.23-3.41
Tm 0.9852 0.3282 0.6557  1 Sm 3.26, 3 Er 3.33-3.64


Entry ii
## SmEr3Tm6 (PBE-GGA)

Data for a geometry-optimized SmEr3Tm6 structure.

The value obtained for the density of states at the Fermi level is 1.3559 states/eV/atom. Its crystal system is orthorhombic.

Cell: 10.8178 10.8178 6.1132 Å, 90.00 90.00 119.71°
Closest atoms and distances in Å follow each position.
Atoms (fractional coordinates):
Sm 0.2089 0.7911 0.5000  3 Er 3.22-3.45, 7 Tm 3.24-3.50
Sm 0.7911 0.2089 0.0000  3 Er 3.22-3.45, 7 Tm 3.24-3.50
Er 0.0657 0.2815 0.7045  1 Sm 3.22, 6 Tm 3.24-3.57
Er 0.2815 0.0657 0.2045  1 Sm 3.22, 6 Tm 3.24-3.57
Er 0.3910 0.6090 0.5887  5 Tm 3.27-3.50, 1 Sm 3.45, 2 Er 3.62
Er 0.6090 0.3910 0.0887  5 Tm 3.27-3.50, 1 Sm 3.45, 2 Er 3.62
Er 0.7185 0.9343 0.7045  1 Sm 3.22, 6 Tm 3.24-3.57
Er 0.9343 0.7185 0.2045  1 Sm 3.22, 6 Tm 3.24-3.57
Tm 0.0352 0.4567 0.2989  2 Er 3.24-3.55, 2 Sm 3.24-3.38, 5 Tm 3.25-3.39
Tm 0.0481 0.9519 0.7429  1 Sm 3.35, 4 Er 3.48-3.57, 4 Tm 3.55-3.70
Tm 0.2878 0.3822 0.1341  4 Er 3.36-3.50, 6 Tm 3.36-3.70
Tm 0.2875 0.7125 0.0198  4 Tm 3.25-3.32, 1 Er 3.27, 2 Sm 3.28-3.50
Tm 0.3822 0.2878 0.6341  4 Er 3.36-3.50, 6 Tm 3.36-3.70
Tm 0.4567 0.0352 0.7989  2 Er 3.24-3.55, 2 Sm 3.24-3.38, 5 Tm 3.25-3.39
Tm 0.5433 0.9648 0.2989  2 Er 3.24-3.55, 2 Sm 3.24-3.38, 5 Tm 3.25-3.39
Tm 0.6178 0.7122 0.1341  4 Er 3.36-3.50, 6 Tm 3.36-3.70
Tm 0.7125 0.2875 0.5198  4 Tm 3.25-3.32, 1 Er 3.27, 2 Sm 3.28-3.50
Tm 0.7122 0.6178 0.6341  4 Er 3.36-3.50, 6 Tm 3.36-3.70
Tm 0.9519 0.0481 0.2429  1 Sm 3.35, 4 Er 3.48-3.57, 4 Tm 3.55-3.70
Tm 0.9648 0.5433 0.7989  2 Er 3.24-3.55, 2 Sm 3.24-3.38, 5 Tm 3.25-3.39


The energy of each structure relative to the most stable one, in kJ/mol of atoms, is as follows: entry i 14.0; entry ii 0.0.